## i
A plane-wave DFT calculation with PBE was carried out for a relaxed structure of Mg8GaHg2.

Values from the calculation:
Magnetization = 0.00 μB/f.u.
Fermi-level density of states = 4.529 states/eV per cell

a = 4.6621 Å, b = 6.3841 Å, c = 8.4178 Å
α = 81.43°, β = 106.08°, γ = 90.00°
Sites, in units of the cell vectors:
Mg (0.9654, 0.7544, 0.9308)
Mg (0.6707, 0.0840, 0.3415)
Mg (0.0346, 0.2456, 0.0692)
Mg (0.7814, 0.6355, 0.5629)
Mg (0.4092, 0.4329, 0.8183)
Mg (0.2186, 0.3645, 0.4371)
Mg (0.5908, 0.5671, 0.1817)
Mg (0.3292, 0.9160, 0.6585)
Ga (0.5000, 0.0000, 0.0000)
Hg (0.1538, 0.8137, 0.3076)
Hg (0.8462, 0.1863, 0.6924)

=====

## ii
A plane-wave DFT calculation with PBE was carried out for a relaxed structure of Mg8GaHg2.

Values from the calculation:
Magnetization = 0.00 μB/f.u.
Fermi-level density of states = 4.024 states/eV per cell

a = 4.7080 Å, b = 6.9221 Å, c = 8.2673 Å
α = 111.84°, β = 106.54°, γ = 90.00°
Sites, in units of the cell vectors:
Mg (0.0218, 0.7774, 0.0435)
Mg (0.1848, 0.2600, 0.3697)
Mg (0.6655, 0.9306, 0.3311)
Mg (0.5974, 0.4437, 0.1948)
Mg (0.3345, 0.0694, 0.6689)
Mg (0.4026, 0.5563, 0.8052)
Mg (0.8152, 0.7400, 0.6303)
Mg (0.9782, 0.2226, 0.9565)
Hg (0.1825, 0.6757, 0.3651)
Hg (0.8175, 0.3243, 0.6349)
Ga (0.5000, 0.0000, 0.0000)

=====

Quick one: least stable of them? i

=====

## i
A plane-wave DFT calculation with PBE was carried out for a relaxed structure of MgGaHg2.

Values from the calculation:
Magnetization = 0.00 μB/f.u.
Fermi-level density of states = 3.011 states/eV per cell

a = 3.4317 Å, b = 6.4989 Å, c = 9.6407 Å
α = 122.69°, β = 90.00°, γ = 90.00°
Sites, in units of the cell vectors:
Hg (0.7500, 0.4318, 0.3308)
Hg (0.2500, 0.5682, 0.6692)
Hg (0.7500, 0.8713, 0.0630)
Hg (0.2500, 0.1287, 0.9370)
Ga (0.7500, 0.0933, 0.4361)
Ga (0.2500, 0.9067, 0.5639)
Mg (0.7500, 0.3500, 0.8077)
Mg (0.2500, 0.6500, 0.1923)

=====

## ii
A plane-wave DFT calculation with PBE was carried out for a relaxed structure of MgGaHg2.

Values from the calculation:
Magnetization = 0.00 μB/f.u.
Fermi-level density of states = 1.718 states/eV per cell

a = 3.9660 Å, b = 3.9660 Å, c = 7.4481 Å
α = 74.56°, β = 74.56°, γ = 60.00°
Sites, in units of the cell vectors:
Hg (0.0801, 0.0801, 0.7597)
Hg (0.2528, 0.2528, 0.2414)
Ga (0.6674, 0.6674, 0.9978)
Mg (0.4996, 0.4996, 0.5011)

=====

## iii
A plane-wave DFT calculation with PBE was carried out for a relaxed structure of MgGaHg2.

Values from the calculation:
Magnetization = 0.00 μB/f.u.
Fermi-level density of states = 0.819 states/eV per cell

a = 3.7848 Å, b = 4.8408 Å, c = 4.8408 Å
α = 90.00°, β = 90.00°, γ = 90.00°
Sites, in units of the cell vectors:
Hg (0.0000, 0.0000, 0.5000)
Hg (0.0000, 0.5000, 0.0000)
Mg (0.5000, 0.5000, 0.5000)
Ga (0.5000, 0.0000, 0.0000)

=====

Quick one: least stable of them? ii

=====

## i
A plane-wave DFT calculation with PBE was carried out for a relaxed structure of MgGaHg2.

Values from the calculation:
Magnetization = 0.00 μB/f.u.
Fermi-level density of states = 0.906 states/eV per cell

a = 3.5814 Å, b = 3.5814 Å, c = 6.7977 Å
α = 90.00°, β = 90.00°, γ = 90.00°
Sites, in units of the cell vectors:
Hg (0.0000, 0.0000, 0.2453)
Hg (0.0000, 0.0000, 0.7547)
Ga (0.5000, 0.5000, 0.5000)
Mg (0.5000, 0.5000, 0.0000)

=====

## ii
A plane-wave DFT calculation with PBE was carried out for a relaxed structure of MgGaHg2.

Values from the calculation:
Magnetization = 0.00 μB/f.u.
Fermi-level density of states = 2.061 states/eV per cell

a = 4.9941 Å, b = 4.9941 Å, c = 4.9941 Å
α = 60.00°, β = 60.00°, γ = 60.00°
Sites, in units of the cell vectors:
Ga (0.5000, 0.5000, 0.5000)
Hg (0.2500, 0.2500, 0.2500)
Hg (0.7500, 0.7500, 0.7500)
Mg (0.0000, 0.0000, 0.0000)

=====

Quick one: least stable of them? ii

=====

## i
A plane-wave DFT calculation with PBE was carried out for a relaxed structure of Mg3Ga3Hg.

Values from the calculation:
Magnetization = 0.00 μB/f.u.
Fermi-level density of states = 5.655 states/eV per cell

a = 4.9858 Å, b = 8.0518 Å, c = 8.0518 Å
α = 120.00°, β = 90.00°, γ = 90.00°
Sites, in units of the cell vectors:
Ga (0.7500, 0.7772, 0.9612)
Ga (0.7500, 0.1840, 0.2228)
Ga (0.2500, 0.9612, 0.1840)
Ga (0.2500, 0.2228, 0.0388)
Ga (0.2500, 0.8160, 0.7772)
Ga (0.7500, 0.0388, 0.8160)
Mg (0.7500, 0.4562, 0.0913)
Mg (0.2500, 0.5438, 0.9087)
Mg (0.2500, 0.0913, 0.6351)
Mg (0.2500, 0.3649, 0.4562)
Mg (0.7500, 0.9087, 0.3649)
Mg (0.7500, 0.6351, 0.5438)
Hg (0.7500, 0.3333, 0.6667)
Hg (0.2500, 0.6667, 0.3333)

=====

## ii
A plane-wave DFT calculation with PBE was carried out for a relaxed structure of Mg3Ga3Hg.

Values from the calculation:
Magnetization = 0.00 μB/f.u.
Fermi-level density of states = 13.719 states/eV per cell

a = 7.6795 Å, b = 7.6795 Å, c = 7.6795 Å
α = 90.00°, β = 90.00°, γ = 90.00°
Sites, in units of the cell vectors:
Ga (0.5000, 0.7500, 0.0000)
Ga (0.2500, 0.0000, 0.5000)
Ga (0.5000, 0.2500, 0.0000)
Ga (0.7500, 0.0000, 0.5000)
Ga (0.0000, 0.5000, 0.7500)
Ga (0.0000, 0.5000, 0.2500)
Hg (0.0000, 0.0000, 0.0000)
Hg (0.5000, 0.5000, 0.5000)
Mg (0.7500, 0.5000, 0.0000)
Mg (0.5000, 0.0000, 0.2500)
Mg (0.2500, 0.5000, 0.0000)
Mg (0.0000, 0.7500, 0.5000)
Mg (0.0000, 0.2500, 0.5000)
Mg (0.5000, 0.0000, 0.7500)

=====

Quick one: least stable of them? ii